Computed, not measured: a relaxed TaMn2GaH crystal at the PBE level of DFT.

Geometry as POSCAR:
```
TaMn2GaH
1.0
3.852 0.000 0.000
0.000 3.852 0.000
0.000 0.000 3.915
H Mn Ga Ta
1 2 1 1
direct
0.000 0.000 0.000 H
0.000 0.500 0.000 Mn
0.500 0.000 0.000 Mn
0.500 0.500 0.500 Ga
0.000 0.000 0.500 Ta
```

Summary:
- Calculated total energy: -7.396 eV per atom
- Volume: 11.6 Å³/atom
- Symmetry: No. 123